The following is a PBE calculation of an optimized crystal structure of Pr2Cd5Ag, from the Alexandria database.

Output
energy of formation	-0.23	eV per atom
relative energy among the computed polymorphs	0	kJ/mol of formula units
crystal system	orthorhombic

POSCAR file:
```
Pr2Cd5Ag
1.0
-2.7624 -3.2298 1.8997
6.1137 -4.7817 -4.9435
6.0436 -0.4926 7.9508
Pr Cd Ag
4 10 2
Direct
0.8108 0.6215 0.7500
0.0000 0.0000 0.0000
0.1892 0.3785 0.2500
0.0000 0.0000 0.5000
0.6404 0.2808 0.0306
0.6404 0.2808 0.4694
0.8042 0.6084 0.3968
0.3596 0.7192 0.9694
0.3596 0.7192 0.5306
0.1958 0.3916 0.8968
0.1958 0.3916 0.6032
0.8042 0.6084 0.1032
0.6075 0.2149 0.7500
0.3925 0.7851 0.2500
0.4543 0.9085 0.7500
0.5457 0.0915 0.2500
```

***

The following is a PBE calculation of an optimized crystal structure of Pr2Cd5Ag12, from the Alexandria database.

Output
energy of formation	-0.11	eV per atom
crystal system	trigonal

POSCAR file:
```
Pr2Cd5Ag12
1.0
-0.5287 1.3969 7.2754
-2.6597 -6.6236 2.0533
6.4665 -3.0386 2.0281
Ag Pr Cd
12 2 5
Direct
0.3517 0.8401 0.3517
0.3079 0.0000 0.6921
0.3517 0.3517 0.8401
0.1599 0.6483 0.6483
0.0000 0.6921 0.3079
0.6483 0.6483 0.1599
0.6921 0.3079 0.0000
0.6483 0.1599 0.6483
0.0000 0.3079 0.6921
0.6921 0.0000 0.3079
0.8401 0.3517 0.3517
0.3079 0.6921 0.0000
0.6482 0.6482 0.6482
0.3518 0.3518 0.3518
0.0000 0.0000 0.5000
0.1013 0.1013 0.1013
0.5000 0.0000 0.0000
0.8987 0.8987 0.8987
0.0000 0.5000 0.0000
```

***

The following is a PBE calculation of an optimized crystal structure of Pr2Cd5Ag3, from the Alexandria database.

Output
energy of formation	-0.23	eV per atom
relative energy among the computed polymorphs	0	kJ/mol of formula units
crystal system	orthorhombic

POSCAR file:
```
Pr2Cd5Ag3
1.0
-4.3671 2.0562 -0.5702
-2.8563 -4.6895 4.9650
4.9587 7.5575 9.9909
Pr Ag Cd
4 6 10
Direct
0.1751 0.7102 0.3503
0.8249 0.2102 0.6497
0.4834 0.7764 0.9669
0.5166 0.2764 0.0331
0.0516 0.9813 0.1032
0.6069 0.5508 0.2137
0.3931 0.0508 0.7863
0.7718 0.6758 0.5436
0.2282 0.1758 0.4564
0.9484 0.4813 0.8968
0.1238 0.2696 0.2475
0.9487 0.0856 0.8974
0.6059 0.9457 0.2118
0.2871 0.4864 0.5741
0.2979 0.8830 0.5957
0.3941 0.4457 0.7882
0.0513 0.5856 0.1026
0.7129 0.9864 0.4259
0.7021 0.3830 0.4043
0.8762 0.7696 0.7525
```

***

The following is a PBE calculation of an optimized crystal structure of PrCdAgRh, from the Alexandria database.

Output
energy of formation	-0.29	eV per atom
crystal system	cubic

POSCAR file:
```
PrCdAgRh
1.0
-2.9544 -0.1356 3.9723
1.3546 -2.5763 4.0067
1.3116 2.3740 4.1437
Ag Cd Rh Pr
1 1 1 1
Direct
0.2500 0.2500 0.2500
0.5000 0.5000 0.5000
0.7500 0.7500 0.7500
0.0000 0.0000 0.0000
```

***

The following is a PBE calculation of an optimized crystal structure of PrScCdAg, from the Alexandria database.

Output
energy of formation	-0.26	eV per atom
relative energy among the computed polymorphs	0	kJ/mol of formula units
crystal system	tetragonal

POSCAR file:
```
PrScCdAg
1.0
-0.4042 -0.3388 3.5158
-2.1049 -2.8186 -0.5136
6.1642 -4.6509 0.2605
Pr Cd Sc Ag
1 1 1 1
Direct
0.0000 0.0000 0.8649
0.5000 0.5000 0.5720
0.0000 0.0000 0.3423
0.5000 0.5000 0.1487
```

***

The following is a PBE calculation of an optimized crystal structure of PrScCdAg, from the Alexandria database.

Output
energy of formation	-0.23	eV per atom
relative energy among the computed polymorphs	13	kJ/mol of formula units
crystal system	cubic

POSCAR file:
```
PrScCdAg
1.0
-2.1838 1.8814 -4.3287
-5.0301 -0.8919 -0.9741
-3.4368 3.8915 0.3012
Cd Pr Sc Ag
1 1 1 1
Direct
0.7500 0.7500 0.7500
0.5000 0.5000 0.5000
0.0000 0.0000 0.0000
0.2500 0.2500 0.2500
```

***

The following is a PBE calculation of an optimized crystal structure of Pr2SmCd2Ag2, from the Alexandria database.

Output
energy of formation	-0.20	eV per atom
crystal system	trigonal

POSCAR file:
```
Pr2SmCd2Ag2
1.0
-4.8071 -0.5746 0.9732
-2.4879 -3.7737 -1.9888
-0.3909 -6.5274 6.7439
Cd Pr Ag Sm
2 2 2 1
Direct
0.7328 0.7328 0.8016
0.2672 0.2672 0.1984
0.1238 0.1238 0.6285
0.8762 0.8762 0.3715
0.3947 0.3947 0.8159
0.6053 0.6053 0.1841
0.0000 0.0000 0.0000
```

***

The following is a PBE calculation of an optimized crystal structure of PrSm2Cd2Ag2, from the Alexandria database.

Output
energy of formation	-0.19	eV per atom
crystal system	trigonal

POSCAR file:
```
PrSm2Cd2Ag2
1.0
-1.1429 -3.9423 2.7314
2.9690 -1.3931 3.6815
-3.9185 3.4287 7.7590
Ag Cd Pr Sm
2 2 1 2
Direct
0.4028 0.4028 0.7916
0.5972 0.5972 0.2084
0.2613 0.2613 0.2162
0.7387 0.7387 0.7838
0.0000 0.0000 0.0000
0.8741 0.8741 0.3776
0.1259 0.1259 0.6224
```

***

The following is a PBE calculation of an optimized crystal structure of Sr2PrCd12Ag3, from the Alexandria database.

Output
energy of formation	-0.03	eV per atom
crystal system	trigonal

POSCAR file:
```
Sr2PrCd12Ag3
1.0
-0.4728 -2.0600 -11.0134
4.7645 -6.3285 -7.9380
-2.3934 -8.1843 -7.2836
Ag Cd Sr Pr
3 12 2 1
Direct
0.0000 0.0000 0.5000
0.0000 0.5000 0.0000
0.5000 0.0000 0.0000
0.8739 0.8739 0.4597
0.5403 0.1261 0.1261
0.7202 0.3192 0.3192
0.6808 0.2798 0.6808
0.8739 0.4597 0.8739
0.3192 0.7202 0.3192
0.2798 0.6808 0.6808
0.4597 0.8739 0.8739
0.3192 0.3192 0.7202
0.1261 0.1261 0.5403
0.6808 0.6808 0.2798
0.1261 0.5403 0.1261
0.3577 0.3577 0.3577
0.6423 0.6423 0.6423
0.0000 0.0000 0.0000
```

***

The following is a PBE calculation of an optimized crystal structure of SrPrCdAg, from the Alexandria database.

Output
energy of formation	-0.29	eV per atom
relative energy among the computed polymorphs	0	kJ/mol of formula units
crystal system	tetragonal

POSCAR file:
```
SrPrCdAg
1.0
-2.2847 -2.4771 1.9805
0.8427 -2.8273 -2.5641
6.1309 -2.1491 4.3845
Cd Pr Sr Ag
1 1 1 1
Direct
0.5000 0.5000 0.1279
0.0000 0.0000 0.3661
0.0000 0.0000 0.8508
0.5000 0.5000 0.5832
```

***

The following is a PBE calculation of an optimized crystal structure of SrPrCdAg, from the Alexandria database.

Output
energy of formation	-0.25	eV per atom
relative energy among the computed polymorphs	13	kJ/mol of formula units
crystal system	cubic

POSCAR file:
```
SrPrCdAg
1.0
-0.5933 0.2788 -5.4749
-4.3626 -2.3450 -2.4233
-3.9627 3.1493 -2.1868
Sr Cd Ag Pr
1 1 1 1
Direct
0.5000 0.5000 0.5000
0.2500 0.2500 0.2500
0.7500 0.7500 0.7500
0.0000 0.0000 0.0000
```

***

The following is a PBE calculation of an optimized crystal structure of TbPrCdAg, from the Alexandria database.

Output
energy of formation	-0.30	eV per atom
relative energy among the computed polymorphs	0	kJ/mol of formula units
crystal system	tetragonal

POSCAR file:
```
TbPrCdAg
1.0
3.7526 0.0000 0.0000
0.0000 3.7526 0.0000
0.0000 0.0000 7.5975
Tb Pr Cd Ag
1 1 1 1
Direct
0.5000 0.5000 0.5965
0.5000 0.5000 0.1119
0.0000 0.0000 0.8409
0.0000 0.0000 0.3786
```

***

The following is a PBE calculation of an optimized crystal structure of TbPrCdAg, from the Alexandria database.

Output
energy of formation	-0.28	eV per atom
relative energy among the computed polymorphs	6	kJ/mol of formula units
crystal system	cubic

POSCAR file:
```
TbPrCdAg
1.0
5.3345 0.0000 0.0000
2.6672 4.6198 0.0000
2.6672 1.5399 4.3556
Cd Pr Tb Ag
1 1 1 1
Direct
0.7500 0.7500 0.7500
0.0000 0.0000 0.0000
0.5000 0.5000 0.5000
0.2500 0.2500 0.2500
```

***

The following is a PBE calculation of an optimized crystal structure of PrThCdAg, from the Alexandria database.

Output
energy of formation	-0.12	eV per atom
crystal system	cubic

POSCAR file:
```
PrThCdAg
1.0
5.3893 0.0000 0.0000
2.6947 4.6673 0.0000
2.6947 1.5558 4.4004
Th Ag Cd Pr
1 1 1 1
Direct
0.5000 0.5000 0.5000
0.2500 0.2500 0.2500
0.7500 0.7500 0.7500
0.0000 0.0000 0.0000
```

***

The following is a PBE calculation of an optimized crystal structure of Pr4Tl2CdAg, from the Alexandria database.

Output
energy of formation	-0.34	eV per atom
crystal system	trigonal

POSCAR file:
```
Pr4Tl2CdAg
1.0
-5.4513 -0.6239 -0.3941
-2.1645 -5.0341 -0.4828
-3.1157 -2.4961 8.6558
Tl Pr Cd Ag
2 4 1 1
Direct
0.2525 0.2525 0.2425
0.7475 0.7475 0.7575
0.6222 0.6222 0.1335
0.1276 0.1276 0.6173
0.8724 0.8724 0.3827
0.3778 0.3778 0.8665
0.0000 0.0000 0.0000
0.5000 0.5000 0.5000
```

***

The following is a PBE calculation of an optimized crystal structure of PrTlCdAg, from the Alexandria database.

Output
energy of formation	-0.26	eV per atom
crystal system	cubic

POSCAR file:
```
PrTlCdAg
1.0
-3.1257 0.0448 4.1616
-3.6487 -3.6703 0.5540
0.5132 -3.6453 3.6796
Ag Tl Cd Pr
1 1 1 1
Direct
0.5000 0.5000 0.5000
0.0000 0.0000 0.0000
0.7500 0.7500 0.7500
0.2500 0.2500 0.2500
```

***

The following is a PBE calculation of an optimized crystal structure of PrTmCdAg, from the Alexandria database.

Output
energy of formation	-0.30	eV per atom
relative energy among the computed polymorphs	0	kJ/mol of formula units
crystal system	tetragonal

POSCAR file:
```
PrTmCdAg
1.0
3.7005 0.0000 0.0000
0.0000 3.7005 0.0000
0.0000 0.0000 7.6162
Ag Pr Cd Tm
1 1 1 1
Direct
0.5000 0.5000 0.1363
0.0000 0.0000 0.8618
0.5000 0.5000 0.5849
0.0000 0.0000 0.3450
```

***

The following is a PBE calculation of an optimized crystal structure of PrTmCdAg, from the Alexandria database.

Output
energy of formation	-0.28	eV per atom
relative energy among the computed polymorphs	7	kJ/mol of formula units
crystal system	cubic

POSCAR file:
```
PrTmCdAg
1.0
-4.0534 3.1965 1.1742
-3.2725 1.6391 -3.8249
-4.9621 -1.8335 -0.2039
Ag Pr Tm Cd
1 1 1 1
Direct
0.2500 0.2500 0.2500
0.0000 0.0000 0.0000
0.5000 0.5000 0.5000
0.7500 0.7500 0.7500
```

***

The following is a PBE calculation of an optimized crystal structure of CdAg2Pt, from the Alexandria database.

Output
energy of formation	0.09	eV per atom
crystal system	tetragonal

POSCAR file:
```
CdAg2Pt
1.0
-3.5826 -1.6074 0.1518
1.3152 -2.6910 2.5438
-3.5196 3.8882 8.9683
Ag Cd Pt
4 2 2
Direct
0.8750 0.8816 0.7500
0.1184 0.6250 0.2500
0.6316 0.1250 0.2500
0.3750 0.3684 0.7500
0.2500 0.7500 0.5000
0.5000 0.5000 0.0000
0.7500 0.2500 0.5000
0.0000 0.0000 0.0000
```

***

The following is a PBE calculation of an optimized crystal structure of Cd2AgPt3, from the Alexandria database.

Output
energy of formation	-0.20	eV per atom
crystal system	tetragonal

POSCAR file:
```
Cd2AgPt3
1.0
2.9511 0.0000 0.0000
0.0000 2.9511 0.0000
0.0000 0.0000 11.8524
Pt Cd Ag
3 2 1
Direct
0.0000 0.0000 0.6663
0.0000 0.0000 0.0000
0.0000 0.0000 0.3337
0.5000 0.5000 0.1683
0.5000 0.5000 0.8317
0.5000 0.5000 0.5000
```